Tl3MoI6Br2 | PBE | optimized geometry

Output
* symmetry: C2/m, No. 12
* calculated volume: 42.740 Å³ per atom
* crystal system: monoclinic
* raw formation energy: -0.41 eV per atom
* raw total energy: -2.957 eV/atom

Cell lengths 9.3353, 9.3353, 6.8592 Å; angles 93.65, 93.65, 59.35 degrees
Last column: nearest neighbours and their distance in Å.
Atoms (fractional coordinates):
Tl  0.0000  0.0000  0.0000  2 Br 3.16
Tl  0.0000  0.5000  0.5000  2 Br 3.13, 4 I 3.32-3.37
Tl  0.5000  0.0000  0.5000  2 Br 3.13, 4 I 3.32-3.37
Mo  0.5000  0.5000  0.5000  6 I 2.76-2.77
I  0.2111  0.6312  0.2672  1 Mo 2.77
I  0.3688  0.7889  0.7328  1 Mo 2.77
I  0.3700  0.3700  0.7379  1 Mo 2.76
I  0.6300  0.6300  0.2621  1 Mo 2.76
I  0.6312  0.2111  0.2672  1 Mo 2.77
I  0.7889  0.3688  0.7328  1 Mo 2.77
Br  0.1745  0.1745  0.2364  3 Tl 3.13-3.16
Br  0.8255  0.8255  0.7636  3 Tl 3.13-3.16